Record 1
Compound: PSe2S6
Source: the Alexandria database
Functional: PBE-GGA
Structure: optimized geometry

CIF file:
```
data_PSe2S6
_space_group_name_H-M_alt 'C 1 2/c 1'
_space_group_IT_number 15
_space_group_name_Hall '-C 2yc'
_cell_length_a 14.119
_cell_length_b 7.108
_cell_length_c 13.196
_cell_angle_alpha 90.00
_cell_angle_beta 116.54
_cell_angle_gamma 90.00
loop_
_atom_site_label
_atom_site_type_symbol
_atom_site_fract_x
_atom_site_fract_y
_atom_site_fract_z
P1 P 0.000 0.097 0.250
Se1 Se 0.112 0.461 0.176
S1 S 0.049 0.264 0.392
S2 S 0.107 0.060 0.712
S3 S 0.152 0.313 0.802
```

Computed properties:
* formation energy without anion corrections: 0.1315 eV per atom
* N(E_F): 11.459 states/eV per cell

=====

Record 2
Compound: RbTaPd2
Source: the Alexandria database
Functional: PBE-GGA
Structure: optimized geometry

CIF file:
```
data_RbTaPd2
_space_group_name_H-M_alt 'F m -3 m'
_space_group_IT_number 225
_space_group_name_Hall '-F 4 2 3'
_cell_length_a 6.899
_cell_length_b 6.899
_cell_length_c 6.899
_cell_angle_alpha 90.00
_cell_angle_beta 90.00
_cell_angle_gamma 90.00
loop_
_atom_site_label
_atom_site_type_symbol
_atom_site_fract_x
_atom_site_fract_y
_atom_site_fract_z
Rb1 Rb 0.000 0.000 0.000
Ta1 Ta 0.000 0.000 0.500
Pd1 Pd 0.250 0.250 0.250
```

Computed properties:
* energy of formation: 0.8716 eV per atom
* energy above the lowest structure with this stoichiometry: 163.2 meV per atom
* N(E_F): 16.065 states/eV per cell

=====

Record 3
Compound: CeVRu2
Source: the Alexandria database
Functional: PBE-GGA
Structure: optimized geometry

CIF file:
```
data_CeVRu2
_space_group_name_H-M_alt 'P 4/m m m'
_space_group_IT_number 123
_space_group_name_Hall '-P 4 2'
_cell_length_a 4.601
_cell_length_b 4.601
_cell_length_c 3.225
_cell_angle_alpha 90.00
_cell_angle_beta 90.00
_cell_angle_gamma 90.00
loop_
_atom_site_label
_atom_site_type_symbol
_atom_site_fract_x
_atom_site_fract_y
_atom_site_fract_z
Ce1 Ce 0.000 0.000 0.000
V1 V 0.500 0.500 0.000
Ru1 Ru 0.000 0.500 0.500
```

Computed properties:
* energy of formation: -0.0665 eV per atom
* N(E_F): 5.567 states/eV per cell

=====

Record 4
Compound: K2TbCl4
Source: the Alexandria database
Functional: PBE-GGA
Structure: optimized geometry

CIF file:
```
data_K2TbCl4
_space_group_name_H-M_alt 'I 4/m m m'
_space_group_IT_number 139
_space_group_name_Hall '-I 4 2'
_cell_length_a 5.350
_cell_length_b 5.350
_cell_length_c 16.211
_cell_angle_alpha 90.00
_cell_angle_beta 90.00
_cell_angle_gamma 90.00
loop_
_atom_site_label
_atom_site_type_symbol
_atom_site_fract_x
_atom_site_fract_y
_atom_site_fract_z
K1 K 0.000 0.000 0.142
Tb1 Tb 0.000 0.000 0.500
Cl1 Cl 0.000 0.000 0.333
Cl2 Cl 0.000 0.500 0.000
```

Computed properties:
* formation energy without anion corrections: -1.8558 eV per atom
* N(E_F): 5.603 states/eV per cell

=====

Record 5
Compound: Tb2AlCo
Source: the Alexandria database
Functional: PBE-GGA
Structure: optimized geometry

CIF file:
```
data_Tb2AlCo
_space_group_name_H-M_alt 'R -3 m'
_space_group_IT_number 166
_space_group_name_Hall '-R 3 2"'
_cell_length_a 3.6697
_cell_length_b 3.6697
_cell_length_c 24.2605
_cell_angle_alpha 90.00
_cell_angle_beta 90.00
_cell_angle_gamma 120.00
loop_
_atom_site_label
_atom_site_type_symbol
_atom_site_fract_x
_atom_site_fract_y
_atom_site_fract_z
Tb1 Tb 0.0000 0.0000 0.2354
Al1 Al 0.0000 0.0000 0.0000
Co1 Co 0.0000 0.0000 0.5000
```

Computed properties:
* energy of formation: -0.0336 eV per atom
* N(E_F): 8.036 states/eV per cell

=====

Record 6
Compound: CrBiAuN2
Source: the Alexandria database
Functional: PBE-GGA
Structure: optimized geometry

CIF file:
```
data_CrBiAuN2
_space_group_name_H-M_alt 'P 4/m m m'
_space_group_IT_number 123
_space_group_name_Hall '-P 4 2'
_cell_length_a 3.810
_cell_length_b 3.810
_cell_length_c 5.794
_cell_angle_alpha 90.00
_cell_angle_beta 90.00
_cell_angle_gamma 90.00
loop_
_atom_site_label
_atom_site_type_symbol
_atom_site_fract_x
_atom_site_fract_y
_atom_site_fract_z
Cr1 Cr 0.000 0.000 0.000
Bi1 Bi 0.000 0.000 0.500
Au1 Au 0.500 0.500 0.500
N1 N 0.000 0.500 0.000
```

Computed properties:
* formation energy without anion corrections: 0.7229 eV per atom
* N(E_F): 3.446 states/eV per cell

=====

Record 7
Compound: Mg2TaB2Rh5
Source: the Alexandria database
Functional: PBE-GGA
Structure: optimized geometry

CIF file:
```
data_Mg2TaB2Rh5
_space_group_name_H-M_alt 'P 4/m b m'
_space_group_IT_number 127
_space_group_name_Hall '-P 4 2ab'
_cell_length_a 9.595
_cell_length_b 9.595
_cell_length_c 2.963
_cell_angle_alpha 90.00
_cell_angle_beta 90.00
_cell_angle_gamma 90.00
loop_
_atom_site_label
_atom_site_type_symbol
_atom_site_fract_x
_atom_site_fract_y
_atom_site_fract_z
Mg1 Mg 0.176 0.324 0.000
Ta1 Ta 0.000 0.000 0.000
B1 B 0.120 0.620 0.000
Rh1 Rh 0.000 0.500 0.500
Rh2 Rh 0.072 0.781 0.500
```

Computed properties:
* energy of formation: -0.5659 eV per atom
* N(E_F): 6.082 states/eV per cell

=====

Record 8
Compound: Rb2AcTaS4
Source: the Alexandria database
Functional: PBE-GGA
Structure: optimized geometry

CIF file:
```
data_Rb2AcTaS4
_space_group_name_H-M_alt 'I -4'
_space_group_IT_number 82
_space_group_name_Hall 'I -4'
_cell_length_a 7.687
_cell_length_b 7.687
_cell_length_c 8.682
_cell_angle_alpha 90.00
_cell_angle_beta 90.00
_cell_angle_gamma 90.00
loop_
_atom_site_label
_atom_site_type_symbol
_atom_site_fract_x
_atom_site_fract_y
_atom_site_fract_z
Rb1 Rb 0.000 0.000 0.000
Rb2 Rb 0.000 0.500 0.250
Ac1 Ac 0.000 0.000 0.500
Ta1 Ta 0.000 0.500 0.750
S1 S 0.178 0.748 0.695
```

Computed properties:
* formation energy without anion corrections: -1.1454 eV per atom
* N(E_F): 5.314 states/eV per cell

=====

| no. | total energy (eV for the cell shown) |
| --- | --- |
| 1 | -143.84 |
| 2 | -78.88 |
| 3 | -33.87 |
| 4 | -54.41 |
| 5 | -60.73 |
| 6 | -29.82 |
| 7 | -141.63 |
| 8 | -87.14 |